Entry one
BeAs2SeBr: relaxed, PBE-GGA.

Symmetry: No. 123

Unit cell a=4.786 b=4.786 c=4.396 alpha=90.00 beta=90.00 gamma=90.00
Fractional coordinates of all 5 atoms:
1 Be 0.000 0.000 0.000
2 As 0.000 0.500 0.000
3 As 0.500 0.000 0.000
4 Se 0.000 0.000 0.500
5 Br 0.500 0.500 0.500

=====

Entry two
BeAs2SeBr: relaxed, PBE-GGA.

Symmetry: No. 123

Unit cell a=5.093 b=5.093 c=5.195 alpha=90.00 beta=90.00 gamma=90.00
Each line ends with the local moment (μB).
Fractional coordinates of all 5 atoms:
1 Be 0.500 0.500 0.500  -0.01
2 As 0.000 0.500 0.000  0.05
3 As 0.500 0.000 0.000  0.05
4 Se 0.000 0.000 0.500  0.13
5 Br 0.000 0.000 0.000  0.04

=====

Winner for stability: entry one

=====

Entry one
BeAsSe2Br: relaxed, PBE-GGA.

Symmetry: No. 123

Unit cell a=5.082 b=5.082 c=5.130 alpha=90.00 beta=90.00 gamma=90.00
Fractional coordinates of all 5 atoms:
1 Be 0.500 0.500 0.500
2 As 0.000 0.000 0.000
3 Se 0.000 0.500 0.000
4 Se 0.500 0.000 0.000
5 Br 0.000 0.000 0.500

=====

Entry two
BeAsSe2Br: relaxed, PBE-GGA.

Symmetry: No. 123

Unit cell a=5.057 b=5.250 c=5.057 alpha=90.00 beta=90.00 gamma=90.00
Fractional coordinates of all 5 atoms:
1 Be 0.500 0.500 0.500
2 As 0.000 0.500 0.000
3 Se 0.000 0.000 0.500
4 Se 0.500 0.000 0.000
5 Br 0.000 0.000 0.000

=====

Winner for stability: entry one